First-principles (GGA-PBE) data for a geometry-optimized PuMgPb2 structure, as listed in the Alexandria database. Values from VASP.

The structure in Quantum ESPRESSO input format:
```
&SYSTEM
  ibrav = 0, nat = 4, ntyp = 3
/
ATOMIC_SPECIES
Pu 244.00 Pu.upf
Mg 24.30 Mg.upf
Pb 207.20 Pb.upf
CELL_PARAMETERS angstrom
2.400 1.386 6.084
-2.400 1.386 6.084
0.000 -2.772 6.084
ATOMIC_POSITIONS crystal
Pu 0.000 0.000 0.000
Mg 0.191 0.191 0.191
Pb 0.581 0.581 0.581
Pb 0.777 0.777 0.777
```

Properties
- formation enthalpy at 0 K (eV per atom) = 0.097
- crystal system = trigonal
- total energy (eV/atom) = -5.74

---

First-principles (GGA-PBE) data for a geometry-optimized Pu2MgPb structure, as listed in the Alexandria database. Values from VASP.

The structure in Quantum ESPRESSO input format:
```
&SYSTEM
  ibrav = 0, nat = 4, ntyp = 3
/
ATOMIC_SPECIES
Pu 244.00 Pu.upf
Mg 24.30 Mg.upf
Pb 207.20 Pb.upf
CELL_PARAMETERS angstrom
0.000 3.810 3.810
3.810 0.000 3.810
3.810 3.810 0.000
ATOMIC_POSITIONS crystal
Pu 0.250 0.250 0.250
Pu 0.750 0.750 0.750
Mg 0.000 0.000 0.000
Pb 0.500 0.500 0.500
```

Properties
- formation enthalpy at 0 K (eV per atom) = 0.032
- crystal system = cubic
- total energy (eV/atom) = -8.46

---

First-principles (GGA-PBE) data for a geometry-optimized PuMg3Pb2 structure, as listed in the Alexandria database. Values from VASP.

The structure in Quantum ESPRESSO input format:
```
&SYSTEM
  ibrav = 0, nat = 12, ntyp = 3
/
ATOMIC_SPECIES
Pu 244.00 Pu.upf
Mg 24.30 Mg.upf
Pb 207.20 Pb.upf
CELL_PARAMETERS angstrom
4.714 0.000 0.000
0.000 8.902 0.000
0.000 0.000 7.562
ATOMIC_POSITIONS crystal
Pu 0.000 0.059 0.000
Pu 0.000 0.941 0.500
Mg 0.000 0.314 0.616
Mg 0.000 0.686 0.116
Mg 0.500 0.198 0.327
Mg 0.500 0.419 0.939
Mg 0.500 0.581 0.439
Mg 0.500 0.802 0.827
Pb 0.000 0.375 0.221
Pb 0.000 0.625 0.721
Pb 0.500 0.129 0.718
Pb 0.500 0.871 0.218
```

Properties
- formation enthalpy at 0 K (eV per atom) = -0.078
- crystal system = orthorhombic
- total energy (eV/atom) = -4.50

---

First-principles (GGA-PBE) data for a geometry-optimized PuMg4Pb2 structure, as listed in the Alexandria database. Values from VASP.

The structure in Quantum ESPRESSO input format:
```
&SYSTEM
  ibrav = 0, nat = 14, ntyp = 3
/
ATOMIC_SPECIES
Pu 244.00 Pu.upf
Mg 24.30 Mg.upf
Pb 207.20 Pb.upf
CELL_PARAMETERS angstrom
8.821 0.000 0.000
0.000 8.821 0.000
0.000 0.000 4.680
ATOMIC_POSITIONS crystal
Pu 0.000 0.000 0.000
Pu 0.500 0.500 0.500
Mg 0.100 0.352 0.500
Mg 0.148 0.600 0.000
Mg 0.352 0.100 0.500
Mg 0.400 0.852 0.000
Mg 0.600 0.148 0.000
Mg 0.648 0.900 0.500
Mg 0.852 0.400 0.000
Mg 0.900 0.648 0.500
Pb 0.198 0.802 0.500
Pb 0.302 0.302 0.000
Pb 0.698 0.698 0.000
Pb 0.802 0.198 0.500
```

Properties
- formation enthalpy at 0 K (eV per atom) = -0.042
- E above lowest polymorph (meV per atom) = 0.0
- crystal system = tetragonal
- total energy (eV/atom) = -4.06

---

First-principles (GGA-PBE) data for a geometry-optimized PuMg2Pb2 structure, as listed in the Alexandria database. Values from VASP.

The structure in Quantum ESPRESSO input format:
```
&SYSTEM
  ibrav = 0, nat = 10, ntyp = 3
/
ATOMIC_SPECIES
Pu 244.00 Pu.upf
Mg 24.30 Mg.upf
Pb 207.20 Pb.upf
CELL_PARAMETERS angstrom
5.225 0.000 0.000
-2.613 4.525 0.000
0.000 0.000 12.342
ATOMIC_POSITIONS crystal
Pu 0.000 0.000 0.250
Pu 0.000 0.000 0.750
Mg 0.333 0.667 0.105
Mg 0.333 0.667 0.395
Mg 0.667 0.333 0.605
Mg 0.667 0.333 0.895
Pb 0.000 0.000 0.000
Pb 0.000 0.000 0.500
Pb 0.333 0.667 0.750
Pb 0.667 0.333 0.250
```

Properties
- formation enthalpy at 0 K (eV per atom) = 0.076
- E above lowest polymorph (meV per atom) = 0.0
- crystal system = hexagonal
- total energy (eV/atom) = -4.91

---

First-principles (GGA-PBE) data for a geometry-optimized PuMg5Pb6 structure, as listed in the Alexandria database. Values from VASP.

The structure in Quantum ESPRESSO input format:
```
&SYSTEM
  ibrav = 0, nat = 12, ntyp = 3
/
ATOMIC_SPECIES
Pu 244.00 Pu.upf
Mg 24.30 Mg.upf
Pb 207.20 Pb.upf
CELL_PARAMETERS angstrom
2.673 -8.234 0.000
2.673 8.234 0.000
0.000 0.000 7.228
ATOMIC_POSITIONS crystal
Pu 0.000 0.000 0.000
Mg 0.000 0.000 0.500
Mg 0.328 0.672 0.500
Mg 0.340 0.660 0.000
Mg 0.660 0.340 0.000
Mg 0.672 0.328 0.500
Pb 0.171 0.829 0.249
Pb 0.171 0.829 0.751
Pb 0.500 0.500 0.266
Pb 0.500 0.500 0.734
Pb 0.829 0.171 0.249
Pb 0.829 0.171 0.751
```

Properties
- formation enthalpy at 0 K (eV per atom) = -0.068
- crystal system = orthorhombic
- total energy (eV/atom) = -3.78